No. 1
The following is a GGA-PBE calculation of a relaxed structure of ErCuSnTeSe2, from the Open Quantum Materials Database.

Its total energy is -0.3363 Ry/atom. The calculation puts the total magnetization at 0.00 μB/f.u.

It has space group Cmcm (No. 63), with a = 4.0669 Å, b = 13.7571 Å, c = 11.0187 Å, α = 90.00°, β = 90.00° and γ = 90.00°. The inequivalent atoms are Er at (0.0000, 0.0000, 0.0000), Cu at (0.0000, 0.4686, 0.2500), Sn at (0.0000, 0.2129, 0.7500), Te at (0.0000, 0.0947, 0.2500) and Se at (0.0000, 0.3642, 0.0673).

---

No. 2
The following is a GGA-PBE calculation of a relaxed structure of Ho3Zn3CuIr2, from the Open Quantum Materials Database.

The formation enthalpy at 0 K is -0.608 eV per atom. The calculation puts the total magnetization at 0.01 μB/f.u.

It has space group P-62m (No. 189), with a = 7.1628 Å, b = 7.1628 Å, c = 3.7977 Å, α = 90.00°, β = 90.00° and γ = 120.00°. The inequivalent atoms are Ho at (0.0000, 0.4110, 0.0000), Zn at (0.0000, 0.7530, 0.5000), Cu at (0.0000, 0.0000, 0.0000) and Ir at (0.3333, 0.6667, 0.5000).

---

No. 3
The following is a GGA-PBE calculation of a relaxed structure of ZnCdTeO, from the Open Quantum Materials Database.

The relative energy among the computed polymorphs comes out at 0.050 eV/atom.

It has space group P2_12_12_1 (No. 19), with a = 6.0026 Å, b = 7.8674 Å, c = 7.9883 Å, α = 90.00°, β = 90.00° and γ = 90.00°. The inequivalent atoms are Zn at (0.0591, 0.1764, 0.0453), Cd at (0.0743, 0.5794, 0.8891), Te at (0.2407, 0.9030, 0.8389) and O at (0.2477, 0.3529, 0.9633).

---

No. 4
The following is a GGA-PBE calculation of a relaxed structure of Mg2Mo, from the Open Quantum Materials Database.

The relative energy among the computed polymorphs comes out at 0.324 eV/atom. The calculation puts the total magnetization at 0.00 μB/f.u.

It has space group P6_3/mmc (No. 194), with a = 5.5626 Å, b = 5.5626 Å, c = 8.1315 Å, α = 90.00°, β = 90.00° and γ = 120.00°. The inequivalent atoms are Mg at (0.0000, 0.0000, 0.0000), Mg at (0.1763, 0.3527, 0.2500) and Mo at (0.3333, 0.6667, 0.5952).

---

No. 5
The following is a GGA-PBE calculation of a relaxed structure of Gd2ErMg3Al2Hg, from the Open Quantum Materials Database.

Its total energy is -0.2418 Ry/atom. The calculation puts the total magnetization at 0.00 μB/f.u.

It has space group Amm2 (No. 38), with a = 4.5353 Å, b = 12.7981 Å, c = 7.4532 Å, α = 90.00°, β = 90.00° and γ = 90.00°. The inequivalent atoms are Gd at (0.0000, 0.2122, 0.0000), Er at (0.0000, 0.0000, 0.3627), Mg at (0.5000, 0.0000, 0.0311), Mg at (0.5000, 0.1225, 0.6642), Al at (0.5000, 0.1653, 0.2879) and Hg at (0.0000, 0.0000, 0.7825).

---

No. 6
The following is a GGA-PBE calculation of a relaxed structure of ErAlPdAu, from the Open Quantum Materials Database.

The relative energy among the computed polymorphs comes out at 0.007 eV/atom. The calculation puts the total magnetization at 0.00 μB/f.u.

It has space group P-3m1 (No. 164), with a = 4.4170 Å, b = 4.4170 Å, c = 9.1035 Å, α = 90.00°, β = 90.00° and γ = 120.00°. The inequivalent atoms are Er at (0.3333, 0.6667, 0.2580), Al at (0.0000, 0.0000, 0.0000), Al at (0.0000, 0.0000, 0.5000), Pd at (0.3333, 0.6667, 0.5788) and Au at (0.3333, 0.6667, 0.9096).

---

No. 7
The following is a GGA-PBE calculation of a relaxed structure of DyCuB4, from the Open Quantum Materials Database.

The relative energy among the computed polymorphs comes out at 0.027 eV/atom. The calculation puts the total magnetization at 0.00 μB/f.u.

It has space group Immm (No. 71), with a = 3.1564 Å, b = 5.2822 Å, c = 7.6357 Å, α = 90.00°, β = 90.00° and γ = 90.00°. The inequivalent atoms are Dy at (0.0000, 0.0000, 0.0000), Cu at (0.0000, 0.0000, 0.5000) and B at (0.0000, 0.3217, 0.2601).

---

No. 8
The following is a GGA-PBE calculation of a relaxed structure of Er3Te5Ir, from the Open Quantum Materials Database.

The relative energy among the computed polymorphs comes out at 0.000 eV/atom. The calculation puts the total magnetization at 0.00 μB/f.u.

It has space group P-62m (No. 189), with a = 8.5052 Å, b = 8.5052 Å, c = 4.1197 Å, α = 90.00°, β = 90.00° and γ = 120.00°. The inequivalent atoms are Er at (0.0000, 0.2620, 0.0000), Te at (0.0000, 0.6903, 0.5000), Te at (0.3333, 0.6667, 0.0000) and Ir at (0.0000, 0.0000, 0.5000).

---

No. 9
The following is a GGA-PBE calculation of a relaxed structure of LaNdBi4Pd2, from the Open Quantum Materials Database.

Its total energy is -0.3850 Ry/atom. The calculation puts the total magnetization at 0.01 μB/f.u.

It has space group P4mm (No. 99), with a = 4.6795 Å, b = 4.6795 Å, c = 9.8061 Å, α = 90.00°, β = 90.00° and γ = 90.00°. The inequivalent atoms are La at (0.0000, 0.0000, 0.0000), Nd at (0.5000, 0.5000, 0.5338), Bi at (0.0000, 0.0000, 0.6019), Bi at (0.0000, 0.5000, 0.2696), Bi at (0.5000, 0.5000, 0.9259) and Pd at (0.0000, 0.5000, 0.7638).

---

No. 10
The following is a GGA-PBE calculation of a relaxed structure of CuAg4, from the Open Quantum Materials Database.

The relative energy among the computed polymorphs comes out at 0.035 eV/atom. The formation enthalpy at 0 K is 0.059 eV per atom.

It has space group C2/m (No. 12), with a = 5.0023 Å, b = 14.3886 Å, c = 4.9812 Å, α = 90.00°, β = 109.38° and γ = 90.00°. The inequivalent atoms are Cu at (0.0000, 0.2020, 0.0000), Ag at (0.0000, 0.0000, 0.0000), Ag at (0.0000, 0.1027, 0.5000), Ag at (0.0000, 0.2970, 0.5000), Ag at (0.0000, 0.3936, 0.0000) and Ag at (0.0000, 0.5000, 0.5000).

---

No. 11
The following is a GGA-PBE calculation of a relaxed structure of AsPdW2, from the Open Quantum Materials Database.

Its total energy is -0.6182 Ry/atom. The calculation puts the total magnetization at 0.01 μB/f.u.

It has space group F-43m (No. 216), with a = 6.3556 Å, b = 6.3556 Å, c = 6.3556 Å, α = 90.00°, β = 90.00° and γ = 90.00°. The inequivalent atoms are As at (0.0000, 0.0000, 0.0000), Pd at (0.2500, 0.2500, 0.2500), W at (0.0000, 0.0000, 0.5000) and W at (0.2500, 0.2500, 0.7500).

---

No. 12
The following is a GGA-PBE calculation of a relaxed structure of InGaFe2, from the Open Quantum Materials Database.

Its total energy is -0.4005 Ry/atom. The calculation puts the total magnetization at 4.14 μB/f.u.

It has space group Pm-3m (No. 221), with a = 6.1628 Å, b = 6.1628 Å, c = 6.1628 Å, α = 90.00°, β = 90.00° and γ = 90.00°. The inequivalent atoms are In at (0.0000, 0.0000, 0.0000), In at (0.0000, 0.0000, 0.5000), Ga at (0.0000, 0.5000, 0.5000), Ga at (0.5000, 0.5000, 0.5000) and Fe at (0.2734, 0.2734, 0.2734).